PBE-GGA KSmMgS3, relaxed; D(E_F) = 0.00 states/eV per cell; total DFT energy (no corrections) = -4.95 eV/atom; formation energy without anion corrections = -957 kJ/mol of formula units; volume = 29.01 Å³/atom; crystal system = monoclinic
1.0
8.793 0.000 0.000
0.000 4.173 0.000
-2.695 0.000 9.486
K Sm Mg S
2 2 2 6
direct
0.195 0.250 0.208
0.805 0.750 0.792
0.335 0.750 0.860
0.665 0.250 0.140
0.084 0.250 0.607
0.916 0.750 0.393
0.115 0.250 0.857
0.195 0.750 0.543
0.454 0.750 0.148
0.546 0.250 0.852
0.805 0.250 0.457
0.885 0.750 0.143



PBE-GGA K2Mg2TaS6, relaxed; D(E_F) = 6.27 states/eV per cell; total DFT energy (no corrections) = -4.93 eV/atom; formation energy without anion corrections = -1175 kJ/mol of formula units; volume = 24.20 Å³/atom; crystal system = monoclinic
1.0
3.202 -5.474 0.000
3.202 5.474 0.000
-2.203 0.000 7.594
K Mg Ta S
2 2 1 6
direct
0.170 0.830 0.000
0.830 0.170 0.000
0.334 0.666 0.500
0.666 0.334 0.500
0.000 0.000 0.500
0.066 0.382 0.689
0.252 0.252 0.312
0.382 0.066 0.689
0.618 0.934 0.311
0.748 0.748 0.688
0.934 0.618 0.311



PBE-GGA K3Tb2MgS6, relaxed; D(E_F) = 10.49 states/eV per cell; total DFT energy (no corrections) = -4.80 eV/atom; formation energy without anion corrections = -1800 kJ/mol of formula units; volume = 25.62 Å³/atom; crystal system = monoclinic
1.0
3.464 -6.000 0.000
3.464 6.000 0.000
-2.311 0.000 7.397
K Tb Mg S
3 2 1 6
direct
0.000 0.000 0.000
0.333 0.667 0.000
0.667 0.333 0.000
0.167 0.833 0.500
0.833 0.167 0.500
0.500 0.500 0.500
0.107 0.433 0.300
0.240 0.240 0.700
0.433 0.107 0.300
0.567 0.893 0.700
0.760 0.760 0.300
0.893 0.567 0.700



PBE-GGA K4Th3MgS8, relaxed; D(E_F) = 9.57 states/eV per cell; total DFT energy (no corrections) = -5.45 eV/atom; formation energy without anion corrections = -2506 kJ/mol of formula units; volume = 26.88 Å³/atom; crystal system = trigonal
1.0
4.088 2.360 7.427
-4.088 2.360 7.427
0.000 -4.721 7.427
K Th Mg S
4 3 1 8
direct
0.000 0.000 0.000
0.000 0.500 0.500
0.500 0.000 0.500
0.500 0.500 0.000
0.000 0.000 0.500
0.000 0.500 0.000
0.500 0.000 0.000
0.500 0.500 0.500
0.239 0.239 0.239
0.244 0.730 0.730
0.270 0.270 0.756
0.270 0.756 0.270
0.730 0.244 0.730
0.730 0.730 0.244
0.756 0.270 0.270
0.761 0.761 0.761



PBE-GGA K2MgTiS4, relaxed; D(E_F) = 0.00 states/eV per cell; total DFT energy (no corrections) = -4.86 eV/atom; formation energy without anion corrections = -1030 kJ/mol of formula units; volume = 28.64 Å³/atom; crystal system = monoclinic
1.0
4.939 -4.690 0.000
4.939 4.690 0.000
-4.938 0.000 4.945
K Mg Ti S
2 1 1 4
direct
0.000 0.000 0.000
0.750 0.250 0.500
0.501 0.499 0.000
0.251 0.749 0.500
0.223 0.468 0.577
0.355 0.107 0.886
0.532 0.777 0.423
0.893 0.645 0.114



PBE-GGA KMgTl2S4, relaxed; D(E_F) = 2.16 states/eV per cell; total DFT energy (no corrections) = -3.62 eV/atom; formation energy without anion corrections = -486 kJ/mol of formula units; volume = 27.89 Å³/atom; crystal system = orthorhombic
1.0
0.000 5.103 4.953
4.413 0.000 4.953
4.413 5.103 0.000
K Mg Tl S
1 1 2 4
direct
0.000 0.000 0.000
0.551 0.551 0.449
0.284 0.284 0.216
0.784 0.784 0.716
0.225 0.651 0.349
0.475 0.922 0.525
0.651 0.225 0.775
0.922 0.475 0.078



PBE-GGA K2MgTlS, relaxed; D(E_F) = 3.80 states/eV per cell; total DFT energy (no corrections) = -2.43 eV/atom; formation energy without anion corrections = -182 kJ/mol of formula units; volume = 36.99 Å³/atom; crystal system = tetragonal
1.0
6.147 0.000 0.000
0.000 6.147 0.000
0.000 0.000 4.895
K Mg Tl S
2 1 1 1
direct
0.000 0.500 0.000
0.500 0.000 0.000
0.000 0.000 0.500
0.500 0.500 0.500
0.000 0.000 0.000



PBE-GGA KTmMgS3, relaxed; D(E_F) = 0.00 states/eV per cell; total DFT energy (no corrections) = -4.93 eV/atom; formation energy without anion corrections = -966 kJ/mol of formula units; volume = 27.34 Å³/atom; crystal system = monoclinic
1.0
8.633 0.000 0.000
0.000 4.073 0.000
-3.034 0.000 9.332
K Tm Mg S
2 2 2 6
direct
0.206 0.250 0.215
0.794 0.750 0.785
0.334 0.750 0.866
0.666 0.250 0.134
0.086 0.250 0.610
0.914 0.750 0.390
0.118 0.250 0.861
0.204 0.750 0.549
0.463 0.750 0.148
0.537 0.250 0.852
0.796 0.250 0.451
0.882 0.750 0.139



PBE-GGA K2MgUS4, relaxed; D(E_F) = 3.80 states/eV per cell; total DFT energy (no corrections) = -5.34 eV/atom; formation energy without anion corrections = -1072 kJ/mol of formula units; volume = 25.08 Å³/atom; crystal system = monoclinic
1.0
6.802 0.000 0.000
0.000 4.017 0.000
-2.330 0.000 7.344
K Mg U S
2 1 1 4
direct
0.000 0.000 0.000
0.500 0.500 0.000
0.000 0.500 0.500
0.500 0.000 0.500
0.231 0.000 0.692
0.266 0.500 0.299
0.734 0.500 0.701
0.769 0.000 0.308



PBE-GGA K3MgU3S8, relaxed; D(E_F) = 10.14 states/eV per cell; total DFT energy (no corrections) = -6.19 eV/atom; formation energy without anion corrections = -2034 kJ/mol of formula units; volume = 27.37 Å³/atom; crystal system = trigonal
1.0
3.974 2.295 7.503
-3.974 2.295 7.503
0.000 -4.589 7.503
K Mg U S
3 1 3 8
direct
0.000 0.500 0.500
0.500 0.000 0.500
0.500 0.500 0.000
0.500 0.500 0.500
0.000 0.000 0.500
0.000 0.500 0.000
0.500 0.000 0.000
0.234 0.234 0.234
0.234 0.729 0.729
0.271 0.271 0.766
0.271 0.766 0.271
0.729 0.234 0.729
0.729 0.729 0.234
0.766 0.271 0.271
0.766 0.766 0.766



PBE-GGA K3MgU2S6, relaxed; D(E_F) = 9.73 states/eV per cell; total DFT energy (no corrections) = -5.75 eV/atom; formation energy without anion corrections = -1620 kJ/mol of formula units; volume = 25.64 Å³/atom; crystal system = monoclinic
1.0
3.468 -6.007 0.000
3.468 6.007 0.000
-2.311 0.000 7.384
K Mg U S
3 1 2 6
direct
0.000 0.000 0.000
0.335 0.665 0.000
0.665 0.335 0.000
0.500 0.500 0.500
0.167 0.833 0.500
0.833 0.167 0.500
0.104 0.433 0.300
0.237 0.237 0.699
0.433 0.104 0.300
0.567 0.896 0.700
0.763 0.763 0.301
0.896 0.567 0.700



PBE-GGA K2MgUS5, relaxed; D(E_F) = 6.92 states/eV per cell; total DFT energy (no corrections) = -5.18 eV/atom; formation energy without anion corrections = -1049 kJ/mol of formula units; volume = 29.19 Å³/atom; crystal system = orthorhombic
1.0
2.026 -9.162 0.000
2.026 9.162 0.000
0.000 0.000 14.155
K Mg U S
4 2 2 10
direct
0.088 0.912 0.500
0.124 0.876 0.150
0.876 0.124 0.650
0.912 0.088 0.000
0.430 0.570 0.271
0.570 0.430 0.771
0.220 0.780 0.862
0.780 0.220 0.362
0.079 0.921 0.875
0.274 0.726 0.479
0.292 0.708 0.242
0.351 0.649 0.838
0.495 0.505 0.129
0.505 0.495 0.629
0.649 0.351 0.338
0.708 0.292 0.742
0.726 0.274 0.979
0.921 0.079 0.375



What is the volume in the sixth record? 27.89 Å³/atom



The lowest total DFT energy (no corrections) belongs to which entry? K3MgU3S8



volume of number 10 (K3MgU3S8)? 27.37 Å³/atom



Number 1 is which compound? KSmMgS3